Entry 1
The following is a DFT calculation (PBE) of an optimized crystal structure of BaHgAs.

Cell and atoms, written as CIF:
```
data_BaHgAs
_space_group_name_H-M_alt 'I 4 m m'
_space_group_IT_number 107
_space_group_name_Hall 'I 4 -2'
_cell_length_a 4.038
_cell_length_b 4.038
_cell_length_c 11.187
_cell_angle_alpha 90.00
_cell_angle_beta 90.00
_cell_angle_gamma 90.00
loop_
_atom_site_label
_atom_site_fract_x
_atom_site_fract_y
_atom_site_fract_z
Ba1 0.000 0.000 0.000
Hg1 0.000 0.000 0.312
As1 0.000 0.000 0.684
```

---

Entry 2
The following is a DFT calculation (PBE) of an optimized crystal structure of BaHgAs.

Cell and atoms, written as CIF:
```
data_BaHgAs
_space_group_name_H-M_alt 'F -4 3 m'
_space_group_IT_number 216
_space_group_name_Hall 'F -4 2 3'
_cell_length_a 7.686
_cell_length_b 7.686
_cell_length_c 7.686
_cell_angle_alpha 90.00
_cell_angle_beta 90.00
_cell_angle_gamma 90.00
loop_
_atom_site_label
_atom_site_fract_x
_atom_site_fract_y
_atom_site_fract_z
Ba1 0.000 0.000 0.000
Hg1 0.250 0.250 0.750
As1 0.250 0.250 0.250
```

---

Stability verdict: entry 1, ahead by 142 meV/atom

---

Entry 1
The following is a DFT calculation (PBE) of an optimized crystal structure of BaHgAs3.

Cell and atoms, written as CIF:
```
data_BaHgAs3
_space_group_name_H-M_alt 'P m -3 m'
_space_group_IT_number 221
_space_group_name_Hall '-P 4 2 3'
_cell_length_a 5.974
_cell_length_b 5.974
_cell_length_c 5.974
_cell_angle_alpha 90.00
_cell_angle_beta 90.00
_cell_angle_gamma 90.00
loop_
_atom_site_label
_atom_site_fract_x
_atom_site_fract_y
_atom_site_fract_z
Ba1 0.000 0.000 0.000
Hg1 0.500 0.500 0.500
As1 0.000 0.000 0.500
```

---

Entry 2
The following is a DFT calculation (PBE) of an optimized crystal structure of BaHgAs3.

Cell and atoms, written as CIF:
```
data_BaHgAs3
_space_group_name_H-M_alt 'P m -3 m'
_space_group_IT_number 221
_space_group_name_Hall '-P 4 2 3'
_cell_length_a 5.313
_cell_length_b 5.313
_cell_length_c 5.313
_cell_angle_alpha 90.00
_cell_angle_beta 90.00
_cell_angle_gamma 90.00
loop_
_atom_site_label
_atom_site_fract_x
_atom_site_fract_y
_atom_site_fract_z
Ba1 0.000 0.000 0.000
Hg1 0.500 0.500 0.500
As1 0.000 0.500 0.500
```

---

Stability verdict: entry 2, ahead by 940 meV/atom